## Ti2TlCo2 (PBE)

Data for crystalline Ti2TlCo2 at its relaxed geometry.

Unit cell a=7.1076 b=7.1076 c=2.9757 alpha=90.00 beta=90.00 gamma=90.00
Last column: nearest neighbours and their distance in Å.
Fractional positions:
Ti1 0.1574 0.3426 0.0000  6 Co 2.53-2.62
Ti2 0.3426 0.8426 0.0000  6 Co 2.53-2.62
Ti3 0.6574 0.1574 0.0000  6 Co 2.53-2.62
Ti4 0.8426 0.6574 0.0000  6 Co 2.53-2.62
Tl1 0.0000 0.0000 0.5000  4 Co 2.80, 2 Tl 2.98, 8 Ti 3.06
Tl2 0.5000 0.5000 0.5000  4 Co 2.80, 2 Tl 2.98, 8 Ti 3.06
Co1 0.1282 0.6282 0.5000  6 Ti 2.53-2.62, 1 Co 2.58, 2 Tl 2.80
Co2 0.3718 0.1282 0.5000  6 Ti 2.53-2.62, 1 Co 2.58, 2 Tl 2.80
Co3 0.6282 0.8718 0.5000  6 Ti 2.53-2.62, 1 Co 2.58, 2 Tl 2.80
Co4 0.8718 0.3718 0.5000  6 Ti 2.53-2.62, 1 Co 2.58, 2 Tl 2.80

Summary:
**Final energy**: -6.64 eV per atom
**Total magnetization**: 0.00 μB per cell

***

## TiTl3Co (PBE)

Data for crystalline TiTl3Co at its relaxed geometry.

Unit cell a=5.3976 b=5.3976 c=5.3976 alpha=90.00 beta=90.00 gamma=90.00
Last column: nearest neighbours and their distance in Å.
Fractional positions:
Ti1 0.0000 0.0000 0.0000  6 Tl 2.70
Tl1 0.0000 0.0000 0.5000  2 Ti 2.70
Tl2 0.0000 0.5000 0.0000  2 Ti 2.70
Tl3 0.5000 0.0000 0.0000  2 Ti 2.70
Co1 0.5000 0.5000 0.5000  12 Tl 3.82

Summary:
**Final energy**: -3.30 eV per atom
**Total magnetization**: 2.55 μB per cell

***

## TiTlCo2 (PBE)

Data for crystalline TiTlCo2 at its relaxed geometry.

Unit cell a=4.3378 b=4.3378 c=4.3378 alpha=60.00 beta=60.00 gamma=60.00
Last column: nearest neighbours and their distance in Å.
Fractional positions:
Ti1 0.0000 0.0000 0.0000  8 Co 2.66
Tl1 0.5000 0.5000 0.5000  8 Co 2.66
Co1 0.2500 0.2500 0.2500  4 Tl 2.66, 4 Ti 2.66
Co2 0.7500 0.7500 0.7500  4 Tl 2.66, 4 Ti 2.66

Summary:
**Final energy**: -6.10 eV per atom
**Total magnetization**: 1.08 μB per cell

***

Copy entry 1 word for word.
## Ti2TlCo2 (PBE)

Data for crystalline Ti2TlCo2 at its relaxed geometry.

Unit cell a=7.1076 b=7.1076 c=2.9757 alpha=90.00 beta=90.00 gamma=90.00
Last column: nearest neighbours and their distance in Å.
Fractional positions:
Ti1 0.1574 0.3426 0.0000  6 Co 2.53-2.62
Ti2 0.3426 0.8426 0.0000  6 Co 2.53-2.62
Ti3 0.6574 0.1574 0.0000  6 Co 2.53-2.62
Ti4 0.8426 0.6574 0.0000  6 Co 2.53-2.62
Tl1 0.0000 0.0000 0.5000  4 Co 2.80, 2 Tl 2.98, 8 Ti 3.06
Tl2 0.5000 0.5000 0.5000  4 Co 2.80, 2 Tl 2.98, 8 Ti 3.06
Co1 0.1282 0.6282 0.5000  6 Ti 2.53-2.62, 1 Co 2.58, 2 Tl 2.80
Co2 0.3718 0.1282 0.5000  6 Ti 2.53-2.62, 1 Co 2.58, 2 Tl 2.80
Co3 0.6282 0.8718 0.5000  6 Ti 2.53-2.62, 1 Co 2.58, 2 Tl 2.80
Co4 0.8718 0.3718 0.5000  6 Ti 2.53-2.62, 1 Co 2.58, 2 Tl 2.80

Summary:
**Final energy**: -6.64 eV per atom
**Total magnetization**: 0.00 μB per cell

***

- Among the records above, which one has the highest total magnetization?
  TiTl3Co

***

- Which value of total magnetization does entry 3 give?
  1.08 μB per cell